! Nd11Zn9Co4 PBE relaxed; values from VASP
! Electronic total energy ... -4.08 eV/atom
! Magnetic moment ... 0.01 μB/atom
! Space-group type ... Cmmm
! N(E_F) ... 0.9015 states/eV/atom
&SYSTEM
  ibrav = 0, nat = 24, ntyp = 3
/
ATOMIC_SPECIES
Nd 144.24 Nd.upf
Zn 65.41 Zn.upf
Co 58.93 Co.upf
CELL_PARAMETERS angstrom
7.027 -10.576 0.000
7.027 10.576 0.000
0.000 0.000 3.699
ATOMIC_POSITIONS crystal
Nd 0.000 0.000 0.000
Nd 0.076 0.414 0.000
Nd 0.168 0.832 0.000
Nd 0.307 0.307 0.000
Nd 0.375 0.625 0.000
Nd 0.414 0.076 0.000
Nd 0.586 0.924 0.000
Nd 0.625 0.375 0.000
Nd 0.693 0.693 0.000
Nd 0.832 0.168 0.000
Nd 0.924 0.586 0.000
Zn 0.080 0.218 0.500
Zn 0.169 0.630 0.500
Zn 0.218 0.080 0.500
Zn 0.370 0.831 0.500
Zn 0.500 0.500 0.500
Zn 0.630 0.169 0.500
Zn 0.782 0.920 0.500
Zn 0.831 0.370 0.500
Zn 0.920 0.782 0.500
Co 0.246 0.450 0.500
Co 0.450 0.246 0.500
Co 0.550 0.754 0.500
Co 0.754 0.550 0.500